{
  "formula": "CeCdBiPb",
  "functional": "PBE",
  "state": "relaxed",
  "ef_kj_per_mol_atoms": -39.47,
  "energy_ev_per_atom": -4.0186,
  "lattice_angstrom": [[-3.865, 0.553, 2.268], [-1.804, -4.058, -2.086], [1.841, -2.778, 3.814]],
  "species": ["Bi", "Cd", "Ce", "Pb"],
  "fractional_positions": [[0.500, 0.500, 0.000], [0.000, 0.500, 0.500], [0.000, 0.000, 0.000], [0.500, 0.000, 0.500]]
}

=====

{
  "formula": "CeCdBiPd",
  "functional": "PBE",
  "state": "relaxed",
  "ef_kj_per_mol_atoms": -35.72,
  "energy_ev_per_atom": -4.3510,
  "lattice_angstrom": [[-0.957, 5.072, -0.321], [-3.783, 2.102, 2.830], [1.160, 3.106, 3.968]],
  "species": ["Pd", "Ce", "Cd", "Bi"],
  "fractional_positions": [[0.000, 0.000, 0.000], [0.250, 0.250, 0.250], [0.750, 0.750, 0.750], [0.500, 0.500, 0.500]]
}

=====

{
  "formula": "CePmCdBi",
  "functional": "PBE",
  "state": "relaxed",
  "ef_kj_per_mol_atoms": -40.48,
  "energy_ev_per_atom": -4.2897,
  "lattice_angstrom": [[5.496, 0.000, 0.000], [2.748, 4.759, 0.000], [2.748, 1.586, 4.487]],
  "species": ["Ce", "Pm", "Cd", "Bi"],
  "fractional_positions": [[0.000, 0.000, 0.000], [0.500, 0.500, 0.500], [0.750, 0.750, 0.750], [0.250, 0.250, 0.250]]
}

=====

{
  "formula": "CePrCdBi",
  "functional": "PBE",
  "state": "relaxed",
  "ef_kj_per_mol_atoms": -41.22,
  "energy_ev_per_atom": -4.3046,
  "lattice_angstrom": [[-0.847, 3.143, -4.474], [-2.148, -2.234, -4.583], [-5.156, 1.279, -1.546]],
  "species": ["Cd", "Pr", "Bi", "Ce"],
  "fractional_positions": [[0.250, 0.250, 0.250], [0.000, 0.000, 0.000], [0.750, 0.750, 0.750], [0.500, 0.500, 0.500]]
}

=====

{
  "formula": "CePuCdBi",
  "functional": "PBE",
  "state": "relaxed",
  "ef_kj_per_mol_atoms": -24.82,
  "energy_ev_per_atom": -6.5227,
  "lattice_angstrom": [[5.473, 0.000, 0.000], [2.737, 4.740, 0.000], [2.737, 1.580, 4.469]],
  "species": ["Ce", "Pu", "Bi", "Cd"],
  "fractional_positions": [[0.000, 0.000, 0.000], [0.500, 0.500, 0.500], [0.250, 0.250, 0.250], [0.750, 0.750, 0.750]]
}

=====

{
  "formula": "CeCdBiSb",
  "functional": "PBE",
  "state": "relaxed",
  "energy_ev_per_atom": -4.2391,
  "formation_energy_uncorrected_mev_per_atom": -526,
  "lattice_angstrom": [[-2.932, -2.743, 1.477], [2.445, -0.198, 4.484], [-2.709, 3.781, 1.644]],
  "species": ["Ce", "Sb", "Cd", "Bi"],
  "fractional_positions": [[0.000, 0.500, 0.500], [0.500, 0.500, 0.000], [0.000, 0.000, 0.000], [0.500, 0.000, 0.500]]
}

=====

{
  "formula": "CeSmCdBi",
  "functional": "PBE",
  "state": "relaxed",
  "ef_kj_per_mol_atoms": -39.83,
  "energy_ev_per_atom": -4.2751,
  "lattice_angstrom": [[5.484, 0.000, 0.000], [2.742, 4.749, 0.000], [2.742, 1.583, 4.478]],
  "species": ["Sm", "Ce", "Cd", "Bi"],
  "fractional_positions": [[0.750, 0.750, 0.750], [0.250, 0.250, 0.250], [0.500, 0.500, 0.500], [0.000, 0.000, 0.000]]
}

=====

{
  "formula": "CeCdSnBi",
  "functional": "PBE",
  "state": "relaxed",
  "ef_kj_per_mol_atoms": -45.08,
  "energy_ev_per_atom": -4.1504,
  "lattice_angstrom": [[4.462, 0.000, 0.000], [0.000, 4.891, 0.000], [0.000, 0.000, 4.951]],
  "species": ["Cd", "Bi", "Sn", "Ce"],
  "fractional_positions": [[0.500, 0.500, 0.000], [0.000, 0.500, 0.500], [0.000, 0.000, 0.000], [0.500, 0.000, 0.500]]
}

=====

{
  "formula": "SrCeCdBi",
  "functional": "PBE",
  "state": "relaxed",
  "ef_kj_per_mol_atoms": -38.93,
  "energy_ev_per_atom": -3.5064,
  "lattice_angstrom": [[5.648, 0.000, 0.000], [2.824, 4.892, 0.000], [2.824, 1.631, 4.612]],
  "species": ["Cd", "Ce", "Bi", "Sr"],
  "fractional_positions": [[0.750, 0.750, 0.750], [0.500, 0.500, 0.500], [0.250, 0.250, 0.250], [0.000, 0.000, 0.000]]
}

=====

{
  "formula": "Sr2CeCd2Bi4",
  "functional": "PBE",
  "state": "relaxed",
  "ef_kj_per_mol_atoms": -57.32,
  "energy_ev_per_atom": -3.5554,
  "lattice_angstrom": [[-2.631, -2.868, 2.723], [-3.188, -3.279, -6.534], [8.315, -2.641, 1.109]],
  "species": ["Bi", "Cd", "Ce", "Sr", "Bi", "Sr", "Bi", "Bi", "Cd"],
  "fractional_positions": [[0.491, 0.721, 0.982], [0.330, 0.012, 0.661], [0.000, 0.000, 0.000], [0.130, 0.603, 0.260], [0.208, 0.234, 0.416], [0.870, 0.397, 0.740], [0.792, 0.766, 0.584], [0.509, 0.279, 0.018], [0.670, 0.988, 0.339]]
}

=====

{
  "formula": "TbCeCdBi",
  "functional": "PBE",
  "state": "relaxed",
  "ef_kj_per_mol_atoms": -37.83,
  "energy_ev_per_atom": -4.2321,
  "lattice_angstrom": [[5.446, 0.000, 0.000], [2.723, 4.717, 0.000], [2.723, 1.572, 4.447]],
  "species": ["Bi", "Tb", "Cd", "Ce"],
  "fractional_positions": [[0.250, 0.250, 0.250], [0.500, 0.500, 0.500], [0.750, 0.750, 0.750], [0.000, 0.000, 0.000]]
}

=====

{
  "formula": "CeThCdBi",
  "functional": "PBE",
  "state": "relaxed",
  "ef_kj_per_mol_atoms": -25.21,
  "energy_ev_per_atom": -4.7987,
  "lattice_angstrom": [[5.508, 0.000, 0.000], [2.754, 4.770, 0.000], [2.754, 1.590, 4.497]],
  "species": ["Ce", "Bi", "Cd", "Th"],
  "fractional_positions": [[0.250, 0.250, 0.250], [0.500, 0.500, 0.500], [0.000, 0.000, 0.000], [0.750, 0.750, 0.750]]
}

=====

| no. | size of the total moment (μB/atom) |
| --- | --- |
| 1 | 0.21 |
| 2 | 0.26 |
| 3 | 0.40 |
| 4 | 0.41 |
| 5 | 2.06 |
| 6 | 0.01 |
| 7 | 0.40 |
| 8 | 0.18 |
| 9 | 0.37 |
| 10 | 0.05 |
| 11 | 0.38 |
| 12 | 0.47 |